(1)
# CaLa2Al PBEsol optimized geometry
# Total DFT energy (no corrections) = -4.35 eV/atom
# Formation energy from the elements = -0.474 eV/f.u.
# Space group = Pmmm (47)
data_CaLa2Al
_chemical_formula_sum 'Ca1 La2 Al1'
_symmetry_space_group_name_H-M 'P 1'
_symmetry_Int_Tables_number 1
_symmetry_space_group_name_Hall 'P 1'
_cell_length_a 3.656
_cell_length_b 4.383
_cell_length_c 7.757
_cell_angle_alpha 90.00
_cell_angle_beta 90.00
_cell_angle_gamma 90.00
loop_
_atom_site_label
_atom_site_type_symbol
_atom_site_fract_x
_atom_site_fract_y
_atom_site_fract_z
_atom_site_occupancy
Al1 Al 0.500 0.500 0.000 1
La1 La 0.000 0.000 0.198 1
La2 La 0.000 0.000 0.802 1
Ca1 Ca 0.500 0.500 0.500 1

=====

(2)
# BaCrRh2F PBEsol optimized geometry
# Total DFT energy (no corrections) = -6.33 eV/atom
# Space group = P4/mmm (123)
data_BaCrRh2F
_chemical_formula_sum 'Ba1 Cr1 Rh2 F1'
_symmetry_space_group_name_H-M 'P 1'
_symmetry_Int_Tables_number 1
_symmetry_space_group_name_Hall 'P 1'
_cell_length_a 4.400
_cell_length_b 4.400
_cell_length_c 4.956
_cell_angle_alpha 90.00
_cell_angle_beta 90.00
_cell_angle_gamma 90.00
loop_
_atom_site_label
_atom_site_type_symbol
_atom_site_fract_x
_atom_site_fract_y
_atom_site_fract_z
_atom_site_occupancy
Ba1 Ba 0.500 0.500 0.500 1
Rh1 Rh 0.500 0.000 0.000 1
Rh2 Rh 0.000 0.500 0.000 1
F1 F 0.000 0.000 0.500 1
Cr1 Cr 0.000 0.000 0.000 1

=====

(3)
# CdSb2Cl PBEsol optimized geometry
# Total DFT energy (no corrections) = -3.11 eV/atom
# Space group = Pmmm (47)
# Energy above the most stable polymorph in this dataset = 136.6 meV/atom
data_CdSb2Cl
_chemical_formula_sum 'Cd1 Sb2 Cl1'
_symmetry_space_group_name_H-M 'P 1'
_symmetry_Int_Tables_number 1
_symmetry_space_group_name_Hall 'P 1'
_cell_length_a 3.289
_cell_length_b 5.148
_cell_length_c 5.696
_cell_angle_alpha 90.00
_cell_angle_beta 90.00
_cell_angle_gamma 90.00
loop_
_atom_site_label
_atom_site_type_symbol
_atom_site_fract_x
_atom_site_fract_y
_atom_site_fract_z
_atom_site_occupancy
Cl1 Cl 0.000 0.500 0.500 1
Sb1 Sb 0.500 0.000 0.500 1
Sb2 Sb 0.000 0.000 0.000 1
Cd1 Cd 0.500 0.500 0.000 1

=====

(4)
# Li2SiCl PBEsol optimized geometry
# Total DFT energy (no corrections) = -2.78 eV/atom
# Space group = F-43m (216)
# Energy above the most stable polymorph in this dataset = 844.6 meV/atom
data_Li2SiCl
_chemical_formula_sum 'Li2 Si1 Cl1'
_symmetry_space_group_name_H-M 'P 1'
_symmetry_Int_Tables_number 1
_symmetry_space_group_name_Hall 'P 1'
_cell_length_a 4.775
_cell_length_b 4.775
_cell_length_c 4.775
_cell_angle_alpha 60.00
_cell_angle_beta 60.00
_cell_angle_gamma 60.00
loop_
_atom_site_label
_atom_site_type_symbol
_atom_site_fract_x
_atom_site_fract_y
_atom_site_fract_z
_atom_site_occupancy
Cl1 Cl 0.500 0.500 0.500 1
Li1 Li 0.000 0.000 0.000 1
Li2 Li 0.750 0.750 0.750 1
Si1 Si 0.250 0.250 0.250 1

=====

(5)
# AlCr2Ru PBEsol optimized geometry
# Total DFT energy (no corrections) = -8.62 eV/atom
# Formation energy from the elements = 0.260 eV/f.u.
# Space group = Cmm2 (35)
data_AlCr2Ru
_chemical_formula_sum 'Al1 Cr2 Ru1'
_symmetry_space_group_name_H-M 'P 1'
_symmetry_Int_Tables_number 1
_symmetry_space_group_name_Hall 'P 1'
_cell_length_a 2.616
_cell_length_b 2.616
_cell_length_c 8.011
_cell_angle_alpha 90.00
_cell_angle_beta 90.00
_cell_angle_gamma 113.34
loop_
_atom_site_label
_atom_site_type_symbol
_atom_site_fract_x
_atom_site_fract_y
_atom_site_fract_z
_atom_site_occupancy
Cr1 Cr 0.500 0.500 0.762 1
Cr2 Cr 0.000 0.000 0.985 1
Ru1 Ru 0.000 0.000 0.507 1
Al1 Al 0.500 0.500 0.246 1

=====

(6)
# KNbCu2 PBEsol optimized geometry
# Total DFT energy (no corrections) = -4.00 eV/atom
# Formation energy from the elements = 4.618 eV/f.u.
# Space group = Fm-3m (225)
data_KNbCu2
_chemical_formula_sum 'K1 Nb1 Cu2'
_symmetry_space_group_name_H-M 'P 1'
_symmetry_Int_Tables_number 1
_symmetry_space_group_name_Hall 'P 1'
_cell_length_a 4.671
_cell_length_b 4.671
_cell_length_c 4.671
_cell_angle_alpha 60.00
_cell_angle_beta 60.00
_cell_angle_gamma 60.00
loop_
_atom_site_label
_atom_site_type_symbol
_atom_site_fract_x
_atom_site_fract_y
_atom_site_fract_z
_atom_site_occupancy
Cu1 Cu 0.750 0.750 0.750 1
Cu2 Cu 0.250 0.250 0.250 1
K1 K 0.000 0.000 0.000 1
Nb1 Nb 0.500 0.500 0.500 1

=====

(7)
# LaOs2 PBEsol optimized geometry
# Total DFT energy (no corrections) = -9.97 eV/atom
# Formation energy from the elements = -0.121 eV/f.u.
# Space group = P6_3/mmc (194)
data_LaOs2
_chemical_formula_sum 'La4 Os8'
_symmetry_space_group_name_H-M 'P 1'
_symmetry_Int_Tables_number 1
_symmetry_space_group_name_Hall 'P 1'
_cell_length_a 5.322
_cell_length_b 5.322
_cell_length_c 9.151
_cell_angle_alpha 90.00
_cell_angle_beta 90.00
_cell_angle_gamma 120.00
loop_
_atom_site_label
_atom_site_type_symbol
_atom_site_fract_x
_atom_site_fract_y
_atom_site_fract_z
_atom_site_occupancy
La1 La 0.667 0.333 0.564 1
La2 La 0.667 0.333 0.936 1
La3 La 0.333 0.667 0.064 1
La4 La 0.333 0.667 0.436 1
Os1 Os 0.000 0.000 0.500 1
Os2 Os 0.338 0.169 0.250 1
Os3 Os 0.662 0.831 0.750 1
Os4 Os 0.169 0.831 0.750 1
Os5 Os 0.831 0.662 0.250 1
Os6 Os 0.831 0.169 0.250 1
Os7 Os 0.169 0.338 0.750 1
Os8 Os 0.000 0.000 0.000 1

=====

(8)
# CdH2Pt2 PBEsol optimized geometry
# Total DFT energy (no corrections) = -4.37 eV/atom
# Space group = P4/mbm (127)
# Energy above the most stable polymorph in this dataset = 11.8 meV/atom
data_CdH2Pt2
_chemical_formula_sum 'Cd2 H4 Pt4'
_symmetry_space_group_name_H-M 'P 1'
_symmetry_Int_Tables_number 1
_symmetry_space_group_name_Hall 'P 1'
_cell_length_a 3.433
_cell_length_b 5.834
_cell_length_c 5.834
_cell_angle_alpha 90.00
_cell_angle_beta 90.00
_cell_angle_gamma 90.00
loop_
_atom_site_label
_atom_site_type_symbol
_atom_site_fract_x
_atom_site_fract_y
_atom_site_fract_z
_atom_site_occupancy
H1 H 0.000 0.380 0.120 1
H2 H 0.000 0.120 0.620 1
H3 H 0.000 0.880 0.380 1
H4 H 0.000 0.620 0.880 1
Cd1 Cd 0.000 0.000 0.000 1
Cd2 Cd 0.000 0.500 0.500 1
Pt1 Pt 0.500 0.337 0.163 1
Pt2 Pt 0.500 0.837 0.337 1
Pt3 Pt 0.500 0.163 0.663 1
Pt4 Pt 0.500 0.663 0.837 1